# 1
Entry from the Alexandria database: MgTlHPd2 after structural relaxation (PBE).

The structure belongs to space group P4/mmm (No. 123); the cell edges are 4.181, 4.181 and 4.175 Å and the angles 90.00°, 90.00° and 90.00°. The distinct sites, in fractional coordinates, are Mg at (0.000, 0.000, 0.000), Tl at (0.500, 0.500, 0.000), H at (0.000, 0.000, 0.500) and Pd at (0.000, 0.500, 0.500).

The calculation puts the uncorrected energy at -18.92 eV for the cell shown.

***

# 2
Entry from the Alexandria database: Mg4TlH3Pd12 after structural relaxation (PBE).

The structure belongs to space group Im-3m (No. 229); the cell edges are 8.520, 8.520 and 8.520 Å and the angles 90.00°, 90.00° and 90.00°. The distinct sites, in fractional coordinates, are Mg at (0.250, 0.250, 0.250), Tl at (0.000, 0.000, 0.000), H at (0.000, 0.000, 0.500), Pd at (0.000, 0.000, 0.295) and Pd at (0.000, 0.250, 0.500).

The calculation puts the uncorrected energy at -173.07 eV for the cell shown.

***

# 3
Entry from the Alexandria database: MgTlH2Pd5 after structural relaxation (PBE).

The structure belongs to space group P4/mmm (No. 123); the cell edges are 4.024, 4.024 and 7.863 Å and the angles 90.00°, 90.00° and 90.00°. The distinct sites, in fractional coordinates, are Mg at (0.000, 0.000, 0.000), Tl at (0.000, 0.000, 0.500), H at (0.500, 0.500, 0.224), Pd at (0.000, 0.500, 0.229) and Pd at (0.500, 0.500, 0.500).

The calculation puts the uncorrected energy at -38.93 eV for the cell shown.

***

# 4
Entry from the Alexandria database: Y2MgHPd after structural relaxation (PBE).

The structure belongs to space group P4/mmm (No. 123); the cell edges are 5.090, 5.090 and 3.778 Å and the angles 90.00°, 90.00° and 90.00°. The distinct sites, in fractional coordinates, are Y at (0.000, 0.500, 0.000), Mg at (0.000, 0.000, 0.500), H at (0.500, 0.500, 0.000) and Pd at (0.500, 0.500, 0.500).

The calculation puts the uncorrected energy at -25.24 eV for the cell shown.

***

# 5
Entry from the Alexandria database: YMg2HPd after structural relaxation (PBE).

The structure belongs to space group P4/mmm (No. 123); the cell edges are 4.258, 4.258 and 4.768 Å and the angles 90.00°, 90.00° and 90.00°. The distinct sites, in fractional coordinates, are Y at (0.000, 0.000, 0.000), Mg at (0.000, 0.500, 0.500), H at (0.000, 0.000, 0.500) and Pd at (0.500, 0.500, 0.000).

The calculation puts the uncorrected energy at -20.02 eV for the cell shown.

***

# 6
Entry from the Alexandria database: Y2MgHPd after structural relaxation (PBE).

The structure belongs to space group P4/mmm (No. 123); the cell edges are 4.831, 4.831 and 4.097 Å and the angles 90.00°, 90.00° and 90.00°. The distinct sites, in fractional coordinates, are Y at (0.000, 0.500, 0.000), Mg at (0.000, 0.000, 0.500), H at (0.000, 0.000, 0.000) and Pd at (0.500, 0.500, 0.500).

The calculation puts the uncorrected energy at -25.17 eV for the cell shown.

***

> What is the uncorrected energy in the third record?

-38.93 eV for the cell shown

***

> The lowest uncorrected energy belongs to which entry?

Mg4TlH3Pd12

***

> Which value of uncorrected energy does entry 4 give?

-25.24 eV for the cell shown

***

What did the second record say?
Entry from the Alexandria database: Mg4TlH3Pd12 after structural relaxation (PBE).

The structure belongs to space group Im-3m (No. 229); the cell edges are 8.520, 8.520 and 8.520 Å and the angles 90.00°, 90.00° and 90.00°. The distinct sites, in fractional coordinates, are Mg at (0.250, 0.250, 0.250), Tl at (0.000, 0.000, 0.000), H at (0.000, 0.000, 0.500), Pd at (0.000, 0.000, 0.295) and Pd at (0.000, 0.250, 0.500).

The calculation puts the uncorrected energy at -173.07 eV for the cell shown.